Record 1
# PBE BaCrMo2, optimized geometry
data_BaCrMo2
_chemical_formula_sum 'Ba1 Cr1 Mo2'
_cell_length_a 3.920
_cell_length_b 3.145
_cell_length_c 7.737
_cell_angle_alpha 72.49
_cell_angle_beta 90.00
_cell_angle_gamma 90.00
_space_group_name_H-M_alt 'P 1'
_space_group_IT_number 1
loop_
_space_group_symop_operation_xyz
'x,y,z'
loop_
_atom_site_label
_atom_site_fract_x
_atom_site_fract_y
_atom_site_fract_z
Cr1 0.500 0.685 0.858
Mo1 0.000 0.938 0.988
Mo2 0.500 0.278 0.141
Ba1 0.000 0.599 0.513
# Crystal system: monoclinic
# Calculated density, g cm⁻³: 6.96
# Electronic total energy, eV per atom: -7.51
# Volume, Å³ per atom: 22.74
# Calculated formation energy, eV/atom: 0.788
# Symmetry: No. 6


Record 2
# PBE BaCrMo2, optimized geometry
data_BaCrMo2
_chemical_formula_sum 'Ba1 Cr1 Mo2'
_cell_length_a 7.715
_cell_length_b 7.715
_cell_length_c 7.715
_cell_angle_alpha 156.04
_cell_angle_beta 149.61
_cell_angle_gamma 39.06
_space_group_name_H-M_alt 'P 1'
_space_group_IT_number 1
loop_
_space_group_symop_operation_xyz
'x,y,z'
loop_
_atom_site_label
_atom_site_fract_x
_atom_site_fract_y
_atom_site_fract_z
Cr1 0.226 0.726 0.500
Mo1 0.727 0.227 0.500
Ba1 0.439 0.439 0.000
Mo2 0.108 0.108 0.000
# Crystal system: orthorhombic
# Calculated density, g cm⁻³: 6.72
# Electronic total energy, eV per atom: -7.33
# Volume, Å³ per atom: 23.54
# Calculated formation energy, eV/atom: 0.975
# Symmetry: No. 44


> Which of these has the lowest electronic total energy?

number 1